a) A geometry-optimized Sb4OsPt structure, computed with GGA-PBE.

Geometry as extended XYZ:
```
12
Lattice="6.559 0.000 -0.194 0.000 6.551 0.000 -0.099 0.000 6.495" Properties=species:S:1:pos:R:3 pbc="T T T"
Os -0.049 3.275 3.248
Sb 4.139 4.152 3.861
Sb 0.859 5.674 3.958
Os 3.230 0.000 3.151
Sb 3.967 0.839 5.533
Sb 2.493 5.711 0.769
Pt 3.280 3.275 -0.097
Sb 5.601 0.877 2.344
Sb 2.322 2.398 2.441
Pt 0.000 0.000 0.000
Sb 5.773 4.115 0.672
Sb 0.687 2.436 5.630
```

b) A geometry-optimized Sb4OsPt structure, computed with GGA-PBE.

Geometry as extended XYZ:
```
6
Lattice="0.000 4.160 4.160 4.160 0.000 4.160 4.160 4.160 0.000" Properties=species:S:1:pos:R:3 pbc="T T T"
Sb 3.122 5.197 5.197
Pt 0.000 0.000 0.000
Sb 3.122 3.122 3.122
Os 6.240 6.240 6.240
Sb 5.197 5.197 3.122
Sb 5.197 3.122 5.197
```

Need the numbers? Relative energies in meV per atom: a) 0; b) 1450.